[1]
First-principles (GGA-PBE) data for CsBiSe2N after structural relaxation, as listed in the Alexandria database.

- formation energy without anion corrections (eV per atom) = 1.542

a b c (Å): 5.9882 5.9882 4.3986
angles (deg): 90.00 90.00 90.00
Site moments in Bohr magnetons follow the coordinates.
Fractional positions:
Cs (0.0000, 0.0000, 0.0000)  0.04
Bi (0.5000, 0.5000, 0.5000)  -0.07
Se (0.0000, 0.5000, 0.0000)  0.07
Se (0.5000, 0.0000, 0.0000)  0.07
N (0.0000, 0.0000, 0.5000)  0.69



[2]
First-principles (GGA-PBE) data for SrAlFeP2 after structural relaxation, as listed in the Alexandria database.

- formation enthalpy at 0 K (eV/atom) = -0.152

a b c (Å): 4.6547 4.5449 4.6547
angles (deg): 90.00 90.00 90.00
Site moments in Bohr magnetons follow the coordinates.
Fractional positions:
Sr (0.5000, 0.5000, 0.5000)  0.04
Al (0.0000, 0.5000, 0.0000)  -0.01
Fe (0.0000, 0.0000, 0.0000)  1.99
P (0.0000, 0.0000, 0.5000)  0.08
P (0.5000, 0.0000, 0.0000)  0.11



[3]
First-principles (GGA-PBE) data for NdY2Ge2Pt7 after structural relaxation, as listed in the Alexandria database.

- formation enthalpy at 0 K (eV/atom) = -0.923

a b c (Å): 4.1005 4.1005 14.1225
angles (deg): 83.34 83.34 89.19
Fractional positions:
Nd (0.0000, 0.0000, 0.0000)
Y (0.8759, 0.8759, 0.3597)
Y (0.1241, 0.1241, 0.6403)
Ge (0.6036, 0.6036, 0.7389)
Ge (0.3964, 0.3964, 0.2611)
Pt (0.5000, 0.5000, 0.0000)
Pt (0.3626, 0.3626, 0.4338)
Pt (0.6374, 0.6374, 0.5662)
Pt (0.9355, 0.4357, 0.1608)
Pt (0.4357, 0.9355, 0.1608)
Pt (0.5643, 0.0645, 0.8392)
Pt (0.0645, 0.5643, 0.8392)



[4]
First-principles (GGA-PBE) data for PrPuF2 after structural relaxation, as listed in the Alexandria database.

- formation energy without anion corrections (eV per atom) = -2.177

a b c (Å): 3.4043 3.4043 8.4836
angles (deg): 78.43 78.43 60.00
Site moments in Bohr magnetons follow the coordinates.
Fractional positions:
Pr (0.5000, 0.5000, 0.5000)  -0.05
F (0.0975, 0.0975, 0.7074)  0.00
F (0.9025, 0.9025, 0.2926)  0.00
Pu (0.0000, 0.0000, 0.0000)  5.49



[5]
First-principles (GGA-PBE) data for ThGe3Rh3 after structural relaxation, as listed in the Alexandria database.

- formation enthalpy at 0 K (eV/atom) = -0.575

a b c (Å): 4.3839 8.7558 8.7558
angles (deg): 120.00 90.00 90.00
Fractional positions:
Th (0.2500, 0.6667, 0.3333)
Th (0.7500, 0.3333, 0.6667)
Ge (0.7500, 0.3380, 0.2820)
Ge (0.7500, 0.9440, 0.6620)
Ge (0.2500, 0.2820, 0.9440)
Ge (0.7500, 0.7180, 0.0560)
Ge (0.2500, 0.0560, 0.3380)
Ge (0.2500, 0.6620, 0.7180)
Rh (0.7500, 0.4301, 0.0572)
Rh (0.7500, 0.6271, 0.5699)
Rh (0.2500, 0.0572, 0.6271)
Rh (0.7500, 0.9428, 0.3729)
Rh (0.2500, 0.3729, 0.4301)
Rh (0.2500, 0.5699, 0.9428)



[6]
First-principles (GGA-PBE) data for Sm2MgC after structural relaxation, as listed in the Alexandria database.

- formation enthalpy at 0 K (eV/atom) = 0.119

a b c (Å): 3.5916 3.5916 8.9406
angles (deg): 90.00 90.00 120.03
Fractional positions:
Sm (0.4669, 0.5331, 0.3354)
Sm (0.4669, 0.5331, 0.6646)
Mg (0.7986, 0.2014, 0.0000)
C (0.1336, 0.8664, 0.5000)



[7]
First-principles (GGA-PBE) data for Li5CoAgN2 after structural relaxation, as listed in the Alexandria database.

- formation energy without anion corrections (eV per atom) = -0.227

a b c (Å): 4.1173 4.1173 7.4355
angles (deg): 90.00 90.00 90.00
Site moments in Bohr magnetons follow the coordinates.
Fractional positions:
Li (0.0000, 0.0000, 0.5000)  0.01
Li (0.0000, 0.5000, 0.7824)  0.01
Li (0.5000, 0.0000, 0.2176)  0.01
Li (0.0000, 0.5000, 0.2176)  0.01
Li (0.5000, 0.0000, 0.7824)  0.01
Co (0.0000, 0.0000, 0.0000)  0.74
Ag (0.5000, 0.5000, 0.5000)  -0.01
N (0.0000, 0.0000, 0.2305)  0.03
N (0.0000, 0.0000, 0.7695)  0.03



[8]
First-principles (GGA-PBE) data for Tb2NdTmS4 after structural relaxation, as listed in the Alexandria database.

- formation energy without anion corrections (eV per atom) = -1.983

a b c (Å): 3.8985 6.8074 6.9123
angles (deg): 71.10 90.00 90.00
Fractional positions:
Tb (0.0000, 0.0000, 0.0000)
Tb (0.5000, 0.0000, 0.5000)
Nd (0.5000, 0.5000, 0.0000)
Tm (0.0000, 0.5000, 0.5000)
S (0.0000, 0.7557, 0.7381)
S (0.0000, 0.2443, 0.2619)
S (0.5000, 0.7480, 0.2604)
S (0.5000, 0.2520, 0.7396)



[9]
First-principles (GGA-PBE) data for K2CuClF6 after structural relaxation, as listed in the Alexandria database.

- formation energy without anion corrections (eV per atom) = -1.811

a b c (Å): 6.1912 6.1907 6.4377
angles (deg): 58.67 58.67 85.84
Fractional positions:
K (0.7497, 0.2503, 0.5001)
K (0.2503, 0.7497, 0.4999)
Cu (0.0000, 0.0000, 0.0000)
Cl (0.5000, 0.5000, 0.0000)
F (0.2004, 0.2004, 0.6004)
F (0.7994, 0.7988, 0.0022)
F (0.2788, 0.7222, 0.0001)
F (0.7212, 0.2778, 0.9999)
F (0.2006, 0.2012, 0.9978)
F (0.7996, 0.7996, 0.3996)



[10]
First-principles (GGA-PBE) data for AcPm6Nd2Y3 after structural relaxation, as listed in the Alexandria database.

- formation enthalpy at 0 K (eV/atom) = 0.024

a b c (Å): 6.3588 6.3588 12.1362
angles (deg): 95.03 95.03 120.03
Fractional positions:
Ac (0.0000, 0.0000, 0.0000)
Pm (0.9141, 0.5787, 0.7443)
Pm (0.7505, 0.7505, 0.2561)
Pm (0.0859, 0.4213, 0.2557)
Pm (0.5787, 0.9141, 0.7443)
Pm (0.2495, 0.2495, 0.7439)
Pm (0.4213, 0.0859, 0.2557)
Nd (0.3334, 0.6666, 0.0000)
Nd (0.6666, 0.3334, 0.0000)
Y (0.1670, 0.8330, 0.5000)
Y (0.8330, 0.1670, 0.5000)
Y (0.5000, 0.5000, 0.5000)



[11]
First-principles (GGA-PBE) data for RbLaZn2Te after structural relaxation, as listed in the Alexandria database.

- formation energy without anion corrections (eV per atom) = -0.158

a b c (Å): 6.0100 6.1554 6.0100
angles (deg): 90.00 90.00 90.00
Fractional positions:
Zn (0.0000, 0.0000, 0.5000)
Zn (0.5000, 0.0000, 0.0000)
Te (0.0000, 0.5000, 0.0000)
Rb (0.5000, 0.5000, 0.5000)
La (0.0000, 0.0000, 0.0000)



[12]
First-principles (GGA-PBE) data for Mo3PdW after structural relaxation, as listed in the Alexandria database.

- formation enthalpy at 0 K (eV/atom) = 1.774

a b c (Å): 4.7120 4.7120 4.7120
angles (deg): 90.00 90.00 90.00
Fractional positions:
Mo (0.0000, 0.5000, 0.0000)
Mo (0.0000, 0.0000, 0.5000)
Mo (0.5000, 0.0000, 0.0000)
Pd (0.5000, 0.5000, 0.5000)
W (0.0000, 0.0000, 0.0000)